Sc8Cd2Os after structural relaxation, computed with PBE.

Unit cell a=4.8173 b=6.2463 c=8.6015 alpha=95.83 beta=106.26 gamma=90.00
Fractional positions:
Sc (0.4121, 0.6009, 0.8241)
Sc (0.6547, 0.9124, 0.3094)
Sc (0.7848, 0.3696, 0.5695)
Sc (0.0294, 0.7743, 0.0588)
Sc (0.2152, 0.6304, 0.4305)
Sc (0.3453, 0.0876, 0.6906)
Sc (0.5879, 0.3991, 0.1759)
Sc (0.9706, 0.2257, 0.9412)
Cd (0.8361, 0.8301, 0.6722)
Cd (0.1639, 0.1699, 0.3278)
Os (0.5000, 0.0000, 0.0000)

Properties
energy of formation from the pure elements	-0.187	eV/atom
magnetization	0.000	μB per cell